Record 1
DFT (PBEsol) results for a relaxed structure of ZnHg2Br.

Calculated values
Space group: Cmmm (65)
Formation energy from raw total energies, eV per atom: 0.03
D(E_F), states/eV/f.u.: 1.1

Lattice parameters (Å, degrees): 5.311 5.311 4.009 90.00 90.00 118.52
Positions (direct):
Zn1 0.000 0.000 0.000
Hg1 0.000 0.500 0.500
Hg2 0.500 0.000 0.500
Br1 0.500 0.500 0.000

=====

Record 2
DFT (PBEsol) results for a relaxed structure of KAuI2N.

Calculated values
Space group: P4/mmm (123)
Formation energy from raw total energies, eV per atom: 0.12
D(E_F), states/eV/f.u.: 4.2

Lattice parameters (Å, degrees): 6.113 6.113 3.783 90.00 90.00 90.00
Positions (direct):
K1 0.000 0.000 0.000
Au1 0.500 0.500 0.500
I1 0.000 0.500 0.500
I2 0.500 0.000 0.500
N1 0.500 0.500 0.000

=====

Record 3
DFT (PBEsol) results for a relaxed structure of Zr4InBr.

Calculated values
Space group: F-43m (216)
Formation energy from raw total energies, eV per atom: 0.24
D(E_F), states/eV/f.u.: 6.2

Lattice parameters (Å, degrees): 5.770 5.770 5.770 60.00 60.00 60.00
Positions (direct):
Zr1 0.123 0.123 0.123
Zr2 0.123 0.123 0.632
Zr3 0.123 0.632 0.123
Zr4 0.632 0.123 0.123
In1 0.750 0.750 0.750
Br1 0.500 0.500 0.500

=====

Record 4
DFT (PBEsol) results for a relaxed structure of ScPdAu2.

Calculated values
Space group: Fm-3m (225)
Electronic total energy, eV per atom: -5.75
D(E_F), states/eV/f.u.: 1.9

Lattice parameters (Å, degrees): 4.577 4.577 4.577 60.00 60.00 60.00
Positions (direct):
Sc1 0.000 0.000 0.000
Pd1 0.500 0.500 0.500
Au1 0.250 0.250 0.250
Au2 0.750 0.750 0.750

=====

Record 5
DFT (PBEsol) results for a relaxed structure of Zn2GeRu2.

Calculated values
Space group: P4/mbm (127)
Electronic total energy, eV per atom: -5.76
D(E_F), states/eV/f.u.: 4.0

Lattice parameters (Å, degrees): 6.222 6.222 3.801 90.00 90.00 90.00
Positions (direct):
Zn1 0.153 0.347 0.000
Zn2 0.347 0.847 0.000
Zn3 0.653 0.153 0.000
Zn4 0.847 0.653 0.000
Ge1 0.000 0.000 0.500
Ge2 0.500 0.500 0.500
Ru1 0.148 0.648 0.500
Ru2 0.352 0.148 0.500
Ru3 0.648 0.852 0.500
Ru4 0.852 0.352 0.500

=====

Record 6
DFT (PBEsol) results for a relaxed structure of AgTePb.

Calculated values
Space group: F-43m (216)
Formation energy from raw total energies, eV per atom: 0.25
D(E_F), states/eV/f.u.: 1.2

Lattice parameters (Å, degrees): 5.069 5.069 5.069 60.00 60.00 60.00
Positions (direct):
Ag1 0.000 0.000 0.000
Te1 0.500 0.500 0.500
Pb1 0.250 0.250 0.250

=====

Record 7
DFT (PBEsol) results for a relaxed structure of CaSbAu2.

Calculated values
Space group: Pmmm (47)
Formation energy from raw total energies, eV per atom: -0.54
D(E_F), states/eV/f.u.: 0.8

Lattice parameters (Å, degrees): 3.386 4.663 5.662 90.00 90.00 90.00
Positions (direct):
Ca1 0.000 0.000 0.000
Sb1 0.500 0.000 0.500
Au1 0.500 0.500 0.237
Au2 0.500 0.500 0.763

=====

Record 8
DFT (PBEsol) results for a relaxed structure of In2AsBrO.

Calculated values
Space group: P4/mmm (123)
Formation energy from raw total energies, eV per atom: 0.96
D(E_F), states/eV/f.u.: 5.4

Lattice parameters (Å, degrees): 5.958 5.958 5.011 90.00 90.00 90.00
Positions (direct):
In1 0.000 0.500 0.000
In2 0.500 0.000 0.000
As1 0.000 0.000 0.500
Br1 0.000 0.000 0.000
O1 0.500 0.500 0.500

=====

Record 9
DFT (PBEsol) results for a relaxed structure of Ba2Nd2FeCo3O12.

Calculated values
Space group: Amm2 (38)
Formation energy from raw total energies, eV per atom: -2.04
D(E_F), states/eV/f.u.: 13.4

Lattice parameters (Å, degrees): 3.837 8.499 8.499 53.40 90.00 90.00
Positions (direct):
Ba1 0.000 0.249 0.751
Ba2 0.000 0.751 0.249
Nd1 0.000 0.502 0.993
Nd2 0.000 0.993 0.502
Fe1 0.500 0.372 0.372
Co1 0.500 0.124 0.124
Co2 0.500 0.624 0.624
Co3 0.500 0.874 0.874
O1 0.000 0.137 0.137
O2 0.000 0.364 0.364
O3 0.000 0.636 0.636
O4 0.000 0.861 0.861
O5 0.500 0.115 0.612
O6 0.500 0.249 0.249
O7 0.500 0.387 0.886
O8 0.500 0.497 0.497
O9 0.500 0.612 0.115
O10 0.500 0.750 0.750
O11 0.500 0.886 0.387
O12 0.500 0.999 0.999

=====

Record 10
DFT (PBEsol) results for a relaxed structure of Zr5Os.

Calculated values
Space group: P4/mmm (123)
Electronic total energy, eV per atom: -9.77
D(E_F), states/eV/f.u.: 5.8

Lattice parameters (Å, degrees): 3.233 3.233 11.720 90.00 90.00 90.00
Positions (direct):
Zr1 0.000 0.000 0.000
Zr2 0.000 0.000 0.362
Zr3 0.000 0.000 0.638
Zr4 0.500 0.500 0.183
Zr5 0.500 0.500 0.817
Os1 0.500 0.500 0.500

=====

Record 11
DFT (PBEsol) results for a relaxed structure of LiAgPb.

Calculated values
Space group: Imm2 (44)
Electronic total energy, eV per atom: -3.24
D(E_F), states/eV/f.u.: 1.0

Lattice parameters (Å, degrees): 5.196 5.196 5.196 140.50 138.34 58.75
Positions (direct):
Li1 0.000 0.000 0.000
Ag1 0.354 0.354 0.000
Pb1 0.679 0.679 0.000

=====

Record 12
DFT (PBEsol) results for a relaxed structure of SiIN2F.

Calculated values
Space group: P4/mmm (123)
Formation energy from raw total energies, eV per atom: 0.03
D(E_F), states/eV/f.u.: 1.7

Lattice parameters (Å, degrees): 3.813 3.813 3.687 90.00 90.00 90.00
Positions (direct):
Si1 0.000 0.000 0.000
I1 0.500 0.500 0.500
N1 0.000 0.500 0.000
N2 0.500 0.000 0.000
F1 0.000 0.000 0.500

=====

Record 13
DFT (PBEsol) results for a relaxed structure of Zr2ScCd.

Calculated values
Space group: I-4m2 (119)
Electronic total energy, eV per atom: -6.57
D(E_F), states/eV/f.u.: 5.4

Lattice parameters (Å, degrees): 5.431 5.431 5.431 132.71 132.71 69.10
Positions (direct):
Zr1 0.000 0.000 0.000
Zr2 0.750 0.250 0.500
Sc1 0.250 0.750 0.500
Cd1 0.500 0.500 0.000

=====

Record 14
DFT (PBEsol) results for a relaxed structure of IrIBr3.

Calculated values
Space group: Pm-3m (221)
Formation energy from raw total energies, eV per atom: 0.30
D(E_F), states/eV/f.u.: 7.0

Lattice parameters (Å, degrees): 5.013 5.013 5.013 90.00 90.00 90.00
Positions (direct):
Ir1 0.000 0.000 0.000
I1 0.500 0.500 0.500
Br1 0.000 0.000 0.500
Br2 0.000 0.500 0.000
Br3 0.500 0.000 0.000

=====

Record 15
DFT (PBEsol) results for a relaxed structure of HoBiPt.

Calculated values
Space group: F-43m (216)
Electronic total energy, eV per atom: -6.45
D(E_F), states/eV/f.u.: 0.1

Lattice parameters (Å, degrees): 4.683 4.683 4.683 60.00 60.00 60.00
Positions (direct):
Ho1 0.000 0.000 0.000
Bi1 0.500 0.500 0.500
Pt1 0.750 0.750 0.750

=====

Record 16
DFT (PBEsol) results for a relaxed structure of CaHg8.

Calculated values
Space group: I4/mmm (139)
Electronic total energy, eV per atom: -0.95
D(E_F), states/eV/f.u.: 3.1

Lattice parameters (Å, degrees): 7.238 7.238 7.238 95.29 95.29 144.66
Positions (direct):
Ca1 0.000 0.000 0.000
Hg1 0.000 0.335 0.335
Hg2 0.000 0.665 0.665
Hg3 0.332 0.332 0.663
Hg4 0.332 0.668 0.000
Hg5 0.335 0.000 0.335
Hg6 0.665 0.000 0.665
Hg7 0.668 0.332 0.000
Hg8 0.668 0.668 0.337

=====

Record 17
DFT (PBEsol) results for a relaxed structure of Li2YPt.

Calculated values
Space group: Imm2 (44)
Electronic total energy, eV per atom: -4.93
D(E_F), states/eV/f.u.: 2.6

Lattice parameters (Å, degrees): 4.677 4.677 4.677 120.20 119.79 90.01
Positions (direct):
Li1 0.000 0.000 0.000
Li2 0.752 0.252 0.500
Y1 0.499 0.499 0.000
Pt1 0.248 0.748 0.500

=====

Record 18
DFT (PBEsol) results for a relaxed structure of SnHBr2.

Calculated values
Space group: R-3m (166)
Electronic total energy, eV per atom: -2.60
D(E_F), states/eV/f.u.: 1.2

Lattice parameters (Å, degrees): 8.414 8.414 8.414 23.71 23.71 23.71
Positions (direct):
Sn1 0.000 0.000 0.000
H1 0.500 0.500 0.500
Br1 0.113 0.113 0.113
Br2 0.887 0.887 0.887

=====

Record 19
DFT (PBEsol) results for a relaxed structure of Co2BrCl.

Calculated values
Space group: Pm (6)
Formation energy from raw total energies, eV per atom: 0.04
D(E_F), states/eV/f.u.: 3.7

Lattice parameters (Å, degrees): 3.669 3.565 5.804 90.00 92.70 90.00
Positions (direct):
Co1 0.000 0.000 0.000
Co2 0.415 0.500 0.017
Br1 0.934 0.500 0.289
Cl1 0.481 0.000 0.764

=====

Record 20
DFT (PBEsol) results for a relaxed structure of LiZn3W.

Calculated values
Space group: Pm-3m (221)
Electronic total energy, eV per atom: -3.24
D(E_F), states/eV/f.u.: 3.1

Lattice parameters (Å, degrees): 4.077 4.077 4.077 90.00 90.00 90.00
Positions (direct):
Li1 0.000 0.000 0.000
Zn1 0.000 0.000 0.500
Zn2 0.000 0.500 0.000
Zn3 0.500 0.000 0.000
W1 0.500 0.500 0.500